Entry 1:
11
Lattice="-2.020 3.330 2.392 -5.544 -2.705 1.868 1.891 -1.194 6.045" Properties=species:S:1:pos:R:3 comment="LiCu2Pd8 GGA-PBE optimized geometry" relative_energy_ev_per_fu=3.706 n_ef_per_ev_cell=19.288 ef_kj_per_mol_fu=224 pbc="T T T"
Pd -5.076 0.670 4.109
Pd -2.772 1.972 4.220
Pd -2.902 -2.542 6.085
Pd -4.477 -2.027 4.017
Pd -1.197 1.458 6.288
Pd -0.598 -1.239 6.196
Pd -2.143 -0.626 4.041
Pd -3.531 0.057 6.265
Li 0.000 0.000 0.000
Cu -1.459 1.084 2.204
Cu -4.215 -1.653 8.101

Entry 2:
20
Lattice="-0.616 -0.733 4.662 6.142 -5.947 -0.124 1.927 8.187 1.541" Properties=species:S:1:pos:R:3 comment="Li3CuPd6 GGA-PBE optimized geometry" relative_energy_ev_per_fu=0.912 n_ef_per_ev_cell=14.796 ef_kj_per_mol_fu=-171 pbc="T T T"
Pd 2.242 -2.967 3.962
Pd 2.826 0.130 0.569
Pd 5.087 4.326 3.055
Pd 6.493 -1.788 4.709
Pd 4.769 -1.772 1.093
Pd 5.616 -5.392 1.991
Pd 2.170 0.934 3.038
Pd 1.613 6.632 5.781
Pd 4.890 1.689 3.516
Pd 2.804 3.421 4.078
Pd 5.547 0.885 1.047
Pd 0.836 3.147 2.308
Li 6.948 0.056 3.018
Li 3.529 2.523 1.370
Li 4.104 -0.803 3.352
Li 0.283 1.186 4.744
Li 1.489 -1.459 2.059
Li 5.743 2.701 5.703
Cu 2.780 4.871 1.921
Cu 4.781 -3.236 3.340

Entry 3:
8
Lattice="3.791 0.000 1.141 -0.344 3.775 1.142 -0.548 -0.601 8.685" Properties=species:S:1:pos:R:3 comment="Li6CuPd GGA-PBE optimized geometry" relative_energy_ev_per_fu=0.000 n_ef_per_ev_cell=1.480 ef_kj_per_mol_fu=-107 pbc="T T T"
Li 1.820 -0.083 7.686
Li 1.079 3.257 3.282
Li -0.247 1.804 7.687
Li 0.598 0.655 4.878
Li 3.146 1.370 3.282
Li 2.300 2.519 6.090
Cu 0.000 0.000 0.000
Pd 1.723 1.887 1.142

Entry 4:
11
Lattice="2.732 0.000 0.000 0.000 7.927 0.185 0.000 1.054 7.859" Properties=species:S:1:pos:R:3 comment="Li6Cu3Pd2 GGA-PBE optimized geometry" n_ef_per_ev_cell=2.864 ef_kj_per_mol_fu=-118 pbc="T T T"
Li 1.366 5.813 5.207
Li 1.366 5.315 0.771
Li 1.366 1.350 5.198
Li 1.366 3.666 7.273
Li 1.366 3.168 2.837
Li 1.366 7.631 2.846
Cu 0.000 7.458 6.680
Cu 0.000 1.523 1.364
Cu 1.366 0.000 0.000
Pd 0.000 5.425 2.979
Pd 0.000 3.556 5.065

Entry 5:
11
Lattice="-2.027 -4.232 -0.061 0.136 -2.745 5.404 -5.982 0.235 1.996" Properties=species:S:1:pos:R:3 comment="Li5Cu4Pd2 GGA-PBE optimized geometry" n_ef_per_ev_cell=3.596 ef_kj_per_mol_fu=-95 pbc="T T T"
Li -2.454 -5.420 4.768
Li -6.451 -3.473 2.541
Li -5.419 -1.321 2.572
Li -2.923 -1.255 3.700
Li -1.422 -3.267 4.799
Cu -6.868 -4.586 4.914
Cu -1.005 -2.155 2.425
Cu -3.025 -1.171 1.305
Cu -4.848 -5.569 6.034
Pd -3.037 -3.777 1.975
Pd -4.836 -2.964 5.364

Entry 6:
19
Lattice="6.564 0.511 0.612 -0.490 6.566 0.612 -0.490 -0.571 6.570" Properties=species:S:1:pos:R:3 comment="Li12Cu6Pd GGA-PBE optimized geometry" n_ef_per_ev_cell=7.311 ef_kj_per_mol_fu=-105 pbc="T T T"
Cu 4.304 6.079 2.778
Cu 4.609 2.002 1.317
Cu 0.975 4.504 6.477
Cu 1.280 0.428 5.016
Cu 5.356 1.808 5.589
Cu 0.228 4.698 2.205
Li 3.442 1.291 3.574
Li -0.075 0.788 2.574
Li 0.790 2.525 0.504
Li 2.376 0.288 1.235
Li 4.794 3.981 7.290
Li 2.858 2.605 5.886
Li 5.659 5.718 5.220
Li 0.754 2.873 4.179
Li 3.209 6.218 6.559
Li 2.726 3.901 1.908
Li 2.142 5.215 4.220
Li 4.830 3.633 3.615
Pd 0.000 0.000 0.000

Entry 7:
10
Lattice="-6.255 -0.475 -0.382 -3.341 -1.645 5.062 -3.654 4.235 2.865" Properties=species:S:1:pos:R:3 comment="Li7CuPd2 GGA-PBE optimized geometry" n_ef_per_ev_cell=5.779 ef_kj_per_mol_fu=296 pbc="T T T"
Cu 0.000 0.000 0.000
Pd -3.313 0.529 1.886
Pd -9.938 1.586 5.659
Li -6.813 1.834 5.877
Li -5.120 2.667 3.313
Li -8.288 2.426 3.119
Li -8.130 -0.552 4.232
Li -6.625 1.058 3.772
Li -6.438 0.281 1.668
Li -4.962 -0.311 4.426

Entry 8:
9
Lattice="2.839 0.000 0.608 1.228 4.554 1.196 -0.560 -0.297 9.550" Properties=species:S:1:pos:R:3 comment="Li4Cu2Pd3 GGA-PBE optimized geometry" relative_energy_ev_per_fu=0.247 n_ef_per_ev_cell=2.325 ef_kj_per_mol_fu=-245 pbc="T T T"
Pd 1.970 0.950 4.666
Pd 1.537 3.308 6.687
Pd 0.000 0.000 0.000
Li 1.016 1.762 9.122
Li 2.491 2.496 2.232
Li 3.419 3.088 4.829
Li 0.088 1.170 6.525
Cu 0.985 0.442 2.334
Cu 2.522 3.816 9.020

Entry 9:
20
Lattice="-2.875 -4.488 3.971 3.137 -4.920 -3.183 5.091 0.408 4.254" Properties=species:S:1:pos:R:3 comment="LiCu7Pd12 GGA-PBE optimized geometry" n_ef_per_ev_cell=21.394 ef_kj_per_mol_fu=-27 pbc="T T T"
Pd 3.031 -2.065 1.319
Pd 5.230 -3.818 2.107
Pd 1.057 -3.724 0.452
Pd 0.123 -5.181 2.936
Pd 1.745 -4.260 5.017
Pd 4.513 -6.502 2.171
Pd 3.607 -4.740 0.025
Pd 1.701 -6.509 1.049
Pd 0.840 -2.498 2.871
Pd 3.651 -2.490 3.993
Pd 4.295 -5.276 4.590
Pd 2.321 -6.935 3.723
Cu -0.277 -7.622 2.360
Cu -0.764 -3.868 5.023
Cu 2.676 -4.500 2.521
Cu 5.629 -1.377 2.682
Cu 1.798 -5.959 -1.428
Cu 3.554 -3.041 6.471
Cu 6.116 -5.132 0.019
Li 0.000 0.000 0.000

Entry 10:
12
Lattice="-2.384 -0.853 5.710 -2.243 -3.249 1.388 6.208 -3.395 2.085" Properties=species:S:1:pos:R:3 comment="LiCu4Pd GGA-PBE optimized geometry" relative_energy_ev_per_fu=0.421 n_ef_per_ev_cell=4.306 ef_kj_per_mol_fu=-43 pbc="T T T"
Cu 3.952 -4.976 4.047
Cu 1.969 -1.655 2.310
Cu -2.371 -2.520 5.135
Cu 1.885 -3.846 3.353
Cu -0.304 -3.650 5.830
Cu -0.097 -0.524 1.616
Cu -0.389 -5.842 6.872
Cu 1.678 -6.972 7.566
Li -0.201 -2.087 3.723
Li 1.782 -5.409 5.459
Pd -0.130 -3.285 1.562
Pd 4.095 -3.358 1.911

Entry 11:
12
Lattice="-3.292 -2.523 -0.935 0.829 -5.856 3.214 -3.022 2.181 4.753" Properties=species:S:1:pos:R:3 comment="LiCu2Pd3 GGA-PBE optimized geometry" relative_energy_ev_per_fu=0.000 n_ef_per_ev_cell=12.674 ef_kj_per_mol_fu=-131 pbc="T T T"
Li -1.631 -5.607 1.536
Li -0.833 -2.772 0.743
Pd -3.216 -3.514 1.469
Pd -2.400 -0.717 0.719
Pd -3.914 0.375 3.099
Pd -2.269 -2.685 5.563
Pd -0.744 -3.785 3.165
Pd -4.741 -2.413 3.867
Cu -1.511 1.091 2.377
Cu 0.000 0.000 0.000
Cu -2.324 -1.718 3.148
Cu -3.161 -4.480 3.884

Entry 12:
4
Lattice="-2.671 -2.216 1.172 2.385 -2.774 0.175 0.968 3.438 2.982" Properties=species:S:1:pos:R:3 comment="LiCu2Pd GGA-PBE optimized geometry" n_ef_per_ev_cell=0.781 ef_kj_per_mol_fu=-75 pbc="T T T"
Li -1.335 -1.108 0.586
Cu 0.270 -2.024 2.501
Cu 0.412 0.471 1.828
Pd 1.192 -1.387 0.088

Entry 13:
28
Lattice="-2.569 -0.893 7.444 6.352 -4.675 1.632 0.468 7.962 1.117" Properties=species:S:1:pos:R:3 comment="Li9Cu4Pd GGA-PBE optimized geometry" n_ef_per_ev_cell=8.452 ef_kj_per_mol_fu=-124 pbc="T T T"
Li -0.029 1.662 4.873
Li 1.383 -0.664 4.152
Li 1.700 0.506 6.976
Li 5.082 -2.301 1.943
Li 4.080 -2.649 4.845
Li 2.384 -0.315 1.250
Li 4.278 0.732 5.319
Li 4.171 -1.312 7.611
Li 2.549 1.888 3.216
Li 2.731 4.985 3.650
Li 5.280 1.081 2.417
Li -0.832 4.695 8.250
Li 0.079 3.706 2.581
Li -1.031 1.313 7.775
Li 2.867 3.058 6.040
Li 1.865 2.709 8.942
Li 1.518 -2.591 6.542
Li 0.170 5.043 5.347
Pd 0.502 3.080 6.871
Pd 3.748 -0.686 3.321
Cu 0.449 6.398 3.032
Cu -0.530 -0.817 6.048
Cu -1.285 -0.447 3.722
Cu 4.119 1.424 7.921
Cu 3.800 -4.004 7.160
Cu 0.131 0.970 2.271
Cu 0.000 0.000 0.000
Cu 4.780 3.211 4.145

Entry 14:
11
Lattice="-1.864 2.436 3.533 1.647 -3.561 5.658 5.324 1.521 4.093" Properties=species:S:1:pos:R:3 comment="Li2CuPd8 GGA-PBE optimized geometry" relative_energy_ev_per_fu=2.495 n_ef_per_ev_cell=14.148 ef_kj_per_mol_fu=47 pbc="T T T"
Pd 2.287 2.068 6.652
Pd 5.293 -1.434 7.775
Pd 4.316 0.398 5.995
Pd 0.791 -0.001 7.290
Pd 1.869 0.089 4.679
Pd -0.186 1.831 5.510
Pd 3.238 0.308 8.606
Pd 2.820 -1.671 6.632
Cu 0.000 0.000 0.000
Li 5.129 -0.569 10.201
Li -0.022 0.966 3.084

Entry 15:
12
Lattice="-4.634 3.319 -6.555 0.100 -3.632 -3.055 -3.395 -3.319 0.147" Properties=species:S:1:pos:R:3 comment="LiCu5Pd6 GGA-PBE optimized geometry" relative_energy_ev_per_fu=0.314 n_ef_per_ev_cell=5.244 ef_kj_per_mol_fu=-175 pbc="T T T"
Cu -2.195 -4.633 -1.939
Cu -1.100 -2.318 -0.968
Cu -4.576 -1.163 -3.683
Cu -3.354 -2.468 -5.780
Cu -2.267 -0.156 -4.805
Pd -1.128 -0.089 -2.399
Pd -3.407 -0.224 -7.211
Pd -2.233 -2.397 -3.365
Pd -3.324 -4.710 -4.338
Pd -4.606 1.079 -5.125
Pd -5.696 -1.234 -6.098
Li 0.000 0.000 0.000

Entry 16:
11
Lattice="-1.187 -0.776 3.618 4.369 -4.366 0.496 3.492 6.312 0.413" Properties=species:S:1:pos:R:3 comment="LiCu2Pd8 GGA-PBE optimized geometry" relative_energy_ev_per_fu=0.000 n_ef_per_ev_cell=16.639 ef_kj_per_mol_fu=-133 pbc="T T T"
Pd 1.641 0.809 0.712
Pd 4.455 -2.229 3.070
Pd 2.220 3.399 1.457
Pd 1.950 -1.250 2.458
Pd 4.725 2.420 2.069
Pd 3.463 -2.638 0.570
Pd 3.212 3.808 3.958
Pd 5.034 0.361 3.815
Li -0.593 -0.388 1.809
Cu 2.577 1.252 3.201
Cu 4.098 -0.082 1.326

Entry 17:
9
Lattice="-1.065 5.008 1.695 -0.934 -1.901 5.030 4.733 2.325 -1.203" Properties=species:S:1:pos:R:3 comment="Li2CuPd6 GGA-PBE optimized geometry" relative_energy_ev_per_fu=0.000 n_ef_per_ev_cell=7.749 ef_kj_per_mol_fu=2 pbc="T T T"
Li 0.046 -0.073 2.942
Li 2.688 5.506 2.580
Pd 3.487 3.378 3.485
Pd 0.366 2.989 5.615
Pd 0.826 3.924 3.142
Pd 2.367 2.443 -0.093
Pd 1.908 1.508 2.380
Pd 3.980 4.380 0.834
Cu 0.000 0.000 0.000

Entry 18:
11
Lattice="-4.232 1.631 0.762 -0.307 -6.073 -2.247 2.509 -2.381 5.483" Properties=species:S:1:pos:R:3 comment="Li7Cu3Pd GGA-PBE optimized geometry" n_ef_per_ev_cell=2.594 ef_kj_per_mol_fu=16 pbc="T T T"
Li -2.098 -5.520 0.589
Li 1.101 -4.227 1.618
Li -0.593 -3.546 4.722
Li -1.437 -3.277 -0.723
Li -0.348 -1.239 0.719
Li -1.682 -5.584 3.280
Li 0.068 -1.303 3.410
Cu 0.334 -5.233 -0.487
Cu 1.868 -3.222 3.723
Cu -2.116 0.816 0.381
Pd -1.015 -3.411 1.999

Entry 19:
20
Lattice="-1.451 2.081 -3.717 0.641 -6.960 -4.148 -7.109 1.527 3.631" Properties=species:S:1:pos:R:3 comment="LiCu6Pd3 GGA-PBE optimized geometry" n_ef_per_ev_cell=8.666 ef_kj_per_mol_fu=-34 pbc="T T T"
Li -1.938 -3.822 -4.857
Li -5.655 0.002 1.461
Cu -4.499 -4.087 -5.313
Cu -1.686 -4.353 -2.433
Cu -7.085 -1.500 -0.131
Cu -8.047 3.019 -0.303
Cu -5.413 -2.018 -1.878
Cu -3.866 -3.959 -0.844
Cu -1.853 -2.269 -0.684
Cu -5.856 0.460 -0.834
Cu -3.401 -0.328 -1.717
Cu -0.431 -5.569 -5.361
Cu -1.204 -1.320 -5.050
Cu -3.791 1.266 0.133
Pd -7.593 -1.660 -3.205
Pd -3.262 1.977 -2.859
Pd -0.941 -0.810 -2.602
Pd -4.172 -1.662 0.387
Pd -3.188 -2.493 -3.187
Pd -5.272 -4.447 -2.947